{
  "formula": "Zr2SbSe",
  "functional": "PBE",
  "state": "optimized geometry",
  "cell": [[7.0035, 0.0000, -0.0038], [0.0000, 6.8823, 0.0000], [0.0007, 0.0000, 7.6529]],
  "species": ["Sb", "Sb", "Sb", "Sb", "Zr", "Zr", "Zr", "Zr", "Zr", "Zr", "Zr", "Zr", "Se", "Se", "Se", "Se"],
  "fractional_positions": [[0.7197, 0.0898, 0.1219], [0.2803, 0.9102, 0.8781], [0.7803, 0.5898, 0.8781], [0.2197, 0.4102, 0.1219], [0.9986, 0.1995, 0.3924], [0.0014, 0.8005, 0.6076], [0.9944, 0.2081, 0.8485], [0.5014, 0.6995, 0.6076], [0.4944, 0.2919, 0.8485], [0.5056, 0.7081, 0.1515], [0.4986, 0.3005, 0.3924], [0.0056, 0.7919, 0.1515], [0.2808, 0.9245, 0.3794], [0.7808, 0.5755, 0.3794], [0.2192, 0.4245, 0.6206], [0.7192, 0.0755, 0.6206]],
  "dos_ef_per_ev_cell": 10.341,
  "final_energy_ev_per_atom": -7.10,
  "magnetic_moment_mub_per_atom": 0.00,
  "e_form_raw_ev_per_atom": -0.927,
  "crystal_system": "monoclinic",
  "space_group": "P2_1/c (14)"
}

{
  "formula": "CeTmHgRu",
  "functional": "PBE",
  "state": "optimized geometry",
  "cell": [[-2.8233, -2.7722, -3.1470], [1.6847, -1.0466, -4.6504], [1.4103, -4.7101, -1.1771]],
  "species": ["Ce", "Ru", "Hg", "Tm"],
  "fractional_positions": [[0.5000, 0.5000, 0.5000], [0.7500, 0.7500, 0.7500], [0.2500, 0.2500, 0.2500], [0.0000, 0.0000, 0.0000]],
  "dos_ef_per_ev_cell": 5.058,
  "final_energy_ev_per_atom": -5.28,
  "magnetic_moment_mub_per_atom": 0.07,
  "crystal_system": "cubic",
  "e_form_ev_per_atom": -0.289,
  "space_group": "F-43m (216)"
}